1.
The following is a PBE calculation of an optimized crystal structure of Nd3NiRh8, from the Alexandria database.

Cell lengths 5.3567, 5.3567, 9.3105 Å; angles 73.28, 73.28, 60.00 degrees
Closest atoms and distances in Å follow each position.
Fractional positions:
Nd  0.6224  0.6224  0.1328  12 Rh 3.14-3.18, 4 Nd 3.42-3.45
Nd  0.0113  0.0113  0.9660  9 Rh 2.98-3.22
Nd  0.4914  0.4914  0.5258  12 Rh 2.98-3.21, 3 Ni 3.11
Ni  0.1449  0.1449  0.5654  3 Rh 2.63
Rh  0.5615  0.0609  0.8161  6 Rh 2.64-2.71
Rh  0.0586  0.5594  0.3235  1 Ni 2.63, 6 Rh 2.67-2.72
Rh  0.5615  0.5615  0.8161  6 Rh 2.64-2.71
Rh  0.0586  0.0586  0.3235  1 Ni 2.63, 6 Rh 2.67-2.72
Rh  0.8094  0.8094  0.5718  6 Rh 2.64-2.67
Rh  0.3102  0.3102  0.0694  6 Rh 2.71-2.72
Rh  0.0609  0.5615  0.8161  6 Rh 2.64-2.71
Rh  0.5594  0.0586  0.3235  1 Ni 2.63, 6 Rh 2.67-2.72

Results
**Total DFT energy (no corrections)**: -83.75 eV for the cell shown
**Formation energy from the elements**: -0.404 eV per atom
**SG**: R3m
**Total moment**: 0.086 μB/atom



2.
The following is a PBE calculation of an optimized crystal structure of Li2MgHg, from the Alexandria database.

Cell lengths 9.9920, 9.9920, 9.9920 Å; angles 18.05, 18.05, 18.05 degrees
Closest atoms and distances in Å follow each position.
Fractional positions:
Hg  0.7500  0.7500  0.7500  6 Li 2.96, 6 Hg 3.13
Li  0.0039  0.0039  0.0039  3 Hg 2.96, 6 Li 3.13, 3 Mg 3.14
Li  0.4961  0.4961  0.4961  3 Hg 2.96, 6 Li 3.13, 3 Mg 3.14
Mg  0.2500  0.2500  0.2500  6 Mg 3.13, 6 Li 3.14

Results
**Energy above the most stable polymorph in this dataset**: 2.875 kcal/mol of atoms
**Total DFT energy (no corrections)**: -6.32 eV for the cell shown
**Formation energy from the elements**: -0.149 eV per atom
**SG**: R-3m
**Total moment**: 0.000 μB/atom



3.
The following is a PBE calculation of an optimized crystal structure of SrTi2MnZn, from the Alexandria database.

Cell lengths 4.7514, 4.3985, 4.7514 Å; angles 90.00, 90.00, 90.00 degrees
Closest atoms and distances in Å follow each position.
Fractional positions:
Sr  0.0000  0.0000  0.0000  2 Mn 2.20, 4 Ti 2.38
Zn  0.5000  0.5000  0.5000  8 Ti 3.24, 4 Mn 3.36
Mn  0.0000  0.5000  0.0000  2 Sr 2.20
Ti  0.0000  0.0000  0.5000  2 Sr 2.38
Ti  0.5000  0.0000  0.0000  2 Sr 2.38

Results
**Total DFT energy (no corrections)**: -17.38 eV for the cell shown
**Formation energy from the elements**: 2.107 eV per atom
**SG**: P4/mmm
**Total moment**: 0.000 μB/atom



4.
The following is a PBE calculation of an optimized crystal structure of CeEr3Pb2, from the Alexandria database.

Cell lengths 4.5798, 10.5547, 9.5605 Å; angles 124.51, 90.00, 102.53 degrees
Closest atoms and distances in Å follow each position.
Fractional positions:
Ce  0.8855  0.7711  0.9052  6 Pb 3.29-3.48, 1 Er 3.60
Ce  0.1145  0.2289  0.0948  6 Pb 3.29-3.48, 1 Er 3.60
Er  0.3070  0.6141  0.5024  3 Pb 3.18-3.22, 4 Er 3.26-3.36
Er  0.9419  0.8839  0.5691  3 Pb 3.08-3.33, 3 Er 3.34-3.36
Er  0.6388  0.2775  0.7956  4 Pb 3.22-3.30
Er  0.3612  0.7225  0.2044  4 Pb 3.22-3.30
Er  0.0581  0.1161  0.4309  3 Pb 3.08-3.33, 3 Er 3.34-3.36
Er  0.6930  0.3859  0.4976  3 Pb 3.18-3.22, 4 Er 3.26-3.36
Pb  0.4881  0.9762  0.8264  1 Pb 3.06, 4 Er 3.08-3.28, 2 Ce 3.29
Pb  0.5119  0.0238  0.1736  1 Pb 3.06, 4 Er 3.08-3.28, 2 Ce 3.29
Pb  0.7553  0.5106  0.2187  7 Er 3.22-3.57, 2 Ce 3.33
Pb  0.2447  0.4894  0.7813  7 Er 3.22-3.57, 2 Ce 3.33

Results
**Energy above the most stable polymorph in this dataset**: 2.040 kcal/mol of atoms
**Total DFT energy (no corrections)**: -57.20 eV for the cell shown
**Formation energy from the elements**: -0.260 eV per atom
**SG**: C2/m
**Total moment**: 0.173 μB/atom



5.
The following is a PBE calculation of an optimized crystal structure of RbGa2Hg2, from the Alexandria database.

Cell lengths 9.0380, 9.0380, 3.2800 Å; angles 90.00, 90.00, 90.00 degrees
Closest atoms and distances in Å follow each position.
Fractional positions:
Ga  0.3756  0.8756  0.0000  6 Hg 3.09-3.18, 3 Ga 3.18-3.28
Ga  0.8756  0.6244  0.0000  6 Hg 3.09-3.18, 3 Ga 3.18-3.28
Ga  0.6244  0.1244  0.0000  6 Hg 3.09-3.18, 3 Ga 3.18-3.28
Ga  0.1244  0.3756  0.0000  6 Hg 3.09-3.18, 3 Ga 3.18-3.28
Hg  0.1622  0.6622  0.5000  6 Ga 3.09-3.18, 2 Hg 3.28
Hg  0.6622  0.8378  0.5000  6 Ga 3.09-3.18, 2 Hg 3.28
Hg  0.8378  0.3378  0.5000  6 Ga 3.09-3.18, 2 Hg 3.28
Hg  0.3378  0.1622  0.5000  6 Ga 3.09-3.18, 2 Hg 3.28
Rb  0.0000  0.0000  0.0000  2 Rb 3.28, 4 Ga 3.58
Rb  0.5000  0.5000  0.0000  2 Rb 3.28, 4 Ga 3.58

Results
**Energy above the most stable polymorph in this dataset**: 2.185 kcal/mol of atoms
**Total DFT energy (no corrections)**: -15.30 eV for the cell shown
**Formation energy from the elements**: -0.005 eV per atom
**SG**: P4/mbm
**Total moment**: 0.000 μB/atom



6.
The following is a PBE calculation of an optimized crystal structure of NaAsBr3, from the Alexandria database.

Cell lengths 5.3473, 5.3473, 5.3473 Å; angles 90.00, 90.00, 90.00 degrees
Closest atoms and distances in Å follow each position.
Fractional positions:
Na  0.0000  0.0000  0.0000  6 Br 2.67
As  0.5000  0.5000  0.5000  12 Br 3.78
Br  0.0000  0.5000  0.0000  2 Na 2.67
Br  0.0000  0.0000  0.5000  2 Na 2.67
Br  0.5000  0.0000  0.0000  2 Na 2.67

Results
**Energy above the most stable polymorph in this dataset**: 20.917 kcal/mol of atoms
**Total DFT energy (no corrections)**: -10.53 eV for the cell shown
**SG**: Pm-3m
**E_form (uncorrected)**: 8.9 kJ/mol of atoms
**Total moment**: 0.200 μB/atom